Crystalline Cs2FeCF6 at its relaxed geometry. Source: Alexandria via LeMat-Bulk, functional PBE with a Hubbard U.

## Properties
E: -4.45 eV/atom
D(E_F): 0.000 states/eV/atom

Structure (POSCAR):
```
Cs2FeCF6
1.0
-2.9363 2.9363 5.0324
2.9363 -2.9363 5.0324
2.9363 2.9363 -5.0324
Cs Fe C F
2 1 1 6
Direct
0.2500 0.7500 0.5000
0.7500 0.2500 0.5000
0.0000 0.0000 0.0000
0.5000 0.5000 0.0000
0.1926 0.1926 0.0000
0.2760 0.2760 0.5520
0.2760 0.7240 0.0000
0.7240 0.2760 0.0000
0.7240 0.7240 0.4480
0.8074 0.8074 0.0000
```